(1)
Density functional theory data (PBE) for an optimized crystal structure of RbNbFeHPd.

For the offset from the most stable computed form, the calculation gives 0.2834 eV/atom. For the density, the calculation gives 5.7 g cm⁻³.

The space group is Amm2 (No. 38) and the conventional cell measures 3.795, 3.418 and 15.301 Å, with angles of 90.00, 90.00 and 90.00 degrees. The asymmetric unit holds Rb at (0.000, 0.000, 0.000), Nb at (0.500, 0.000, 0.287), Fe at (0.000, 0.000, 0.768), H at (0.000, 0.000, 0.242) and Pd at (0.500, 0.000, 0.650).

---

(2)
Density functional theory data (PBE) for an optimized crystal structure of RbNbFeHPd.

For the offset from the most stable computed form, the calculation gives 0.0536 eV/atom. For the density, the calculation gives 6.5 g cm⁻³.

The space group is P1 (No. 1) and the conventional cell measures 3.117, 3.285 and 8.575 Å, with angles of 86.23, 89.77 and 89.98 degrees. The asymmetric unit holds Rb at (0.000, 0.000, 0.000), Nb at (0.006, 0.079, 0.486), Fe at (0.507, 0.547, 0.346), H at (0.008, 0.412, 0.263) and Pd at (0.503, 0.547, 0.680).

---

(3)
Density functional theory data (PBE) for an optimized crystal structure of RbNbFeHPd.

For the offset from the most stable computed form, the calculation gives 0.0000 eV/atom. For the density, the calculation gives 6.5 g cm⁻³.

The space group is P4mm (No. 99) and the conventional cell measures 3.202, 3.202 and 8.578 Å, with angles of 90.00, 90.00 and 90.00 degrees. The asymmetric unit holds Rb at (0.000, 0.000, 0.000), Nb at (0.000, 0.000, 0.471), Fe at (0.500, 0.500, 0.340), H at (0.500, 0.500, 0.157) and Pd at (0.500, 0.500, 0.663).

---

(4)
Density functional theory data (PBE) for an optimized crystal structure of Nb2FeHPt.

For the offset from the most stable computed form, the calculation gives 0.0000 eV/atom. For the density, the calculation gives 11.4 g cm⁻³.

The space group is P4/mmm (No. 123) and the conventional cell measures 4.070, 4.070 and 3.860 Å, with angles of 90.00, 90.00 and 90.00 degrees. The asymmetric unit holds Nb at (0.000, 0.500, 0.000), Fe at (0.000, 0.000, 0.500), H at (0.000, 0.000, 0.000) and Pt at (0.500, 0.500, 0.500).